## BeCo3Si (PBE-GGA)

Data for crystalline BeCo3Si at its relaxed geometry.

Results
SG: Pm-3m (221)
Offset from the most stable computed form: 1.24 eV per formula unit

a b c (Å): 3.777 3.777 3.777
angles (deg): 90.00 90.00 90.00
Last column: magnetic moment on the atom in μB.
Fractional positions:
1 Co 0.500 0.000 0.000  0.31
2 Co 0.000 0.500 0.000  0.43
3 Co 0.000 0.000 0.500  0.45
4 Si 0.500 0.500 0.500  -0.03
5 Be 0.000 0.000 0.000  -0.04

## Be5Co4Si (PBE-GGA)

Data for crystalline Be5Co4Si at its relaxed geometry.

Results
SG: C2/m (12)

a b c (Å): 3.684 6.239 4.558
angles (deg): 93.62 113.84 90.00
Last column: magnetic moment on the atom in μB.
Fractional positions:
1 Be 0.500 0.500 0.000  -0.03
2 Be 0.765 0.411 0.530  -0.01
3 Be 0.181 0.944 0.363  -0.01
4 Be 0.819 0.056 0.637  -0.01
5 Be 0.235 0.589 0.470  -0.01
6 Co 0.675 0.753 0.351  0.32
7 Co 0.954 0.709 0.909  0.81
8 Co 0.046 0.291 0.091  0.81
9 Co 0.325 0.247 0.649  0.32
10 Si 0.500 0.000 0.000  0.00

## BeCoSi2 (PBE-GGA)

Data for crystalline BeCoSi2 at its relaxed geometry.

Results
SG: I-42d (122)

a b c (Å): 7.431 7.431 5.643
angles (deg): 48.82 48.82 90.00
Fractional positions:
1 Be 0.500 0.500 0.000
2 Be 0.250 0.750 0.500
3 Co 0.750 0.250 0.500
4 Co 0.000 0.000 0.000
5 Si 0.375 0.272 0.750
6 Si 0.728 0.125 0.250
7 Si 0.875 0.978 0.750
8 Si 0.022 0.625 0.250

## Be4Co5Si (PBE-GGA)

Data for crystalline Be4Co5Si at its relaxed geometry.

Results
SG: P4/mmm (123)

a b c (Å): 2.645 2.645 13.005
angles (deg): 90.00 90.00 90.00
Last column: magnetic moment on the atom in μB.
Fractional positions:
1 Be 0.000 0.000 0.401  -0.02
2 Be 0.000 0.000 0.211  -0.01
3 Be 0.000 0.000 0.599  -0.02
4 Be 0.000 0.000 0.789  -0.01
5 Co 0.500 0.500 0.305  0.28
6 Co 0.500 0.500 0.500  0.56
7 Co 0.500 0.500 0.105  -0.02
8 Co 0.500 0.500 0.895  -0.02
9 Co 0.500 0.500 0.695  0.28
10 Si 0.000 0.000 0.000  0.00

## BeCoSi2 (PBE-GGA)

Data for crystalline BeCoSi2 at its relaxed geometry.

Results
SG: P4/mmm (123)

a b c (Å): 2.552 2.552 6.834
angles (deg): 90.00 90.00 90.05
Fractional positions:
1 Co 0.500 0.500 0.750
2 Be 0.500 0.500 0.250
3 Si 0.000 0.000 0.985
4 Si 0.000 0.000 0.515

## BeCoSi (PBE-GGA)

Data for crystalline BeCoSi at its relaxed geometry.

Results
SG: F-43m (216)
Offset from the most stable computed form: 1.11 eV per formula unit

a b c (Å): 3.704 3.704 3.704
angles (deg): 60.00 60.00 60.00
Fractional positions:
1 Co 0.500 0.500 0.500
2 Be 0.000 0.000 0.000
3 Si 0.750 0.750 0.750

| no. | uncorrected formation energy (meV/atom) |
| --- | --- |
| 1 | 282 |
| 2 | -137 |
| 3 | 263 |
| 4 | -397 |
| 5 | -14 |
| 6 | -46 |